{"formula": "SbTeOs", "functional": "PBE", "state": "relaxed", "lattice_angstrom": [[5.6181, 0.0000, 0.0000], [0.0000, 3.7498, 0.0000], [-0.1534, 0.0000, 6.5795]], "species": ["Sb", "Sb", "Te", "Te", "Os", "Os"], "frac_coords": [[0.1996, 0.0000, 0.1385], [0.8004, 0.0000, 0.8615], [0.2901, 0.5000, 0.6397], [0.7099, 0.5000, 0.3603], [0.0000, 0.0000, 0.5000], [0.5000, 0.5000, 0.0000]], "m_tot_mub_per_cell": 0.0, "dft_energy_ev_per_atom": -6.14}


{"formula": "SbTeOs", "functional": "PBE", "state": "relaxed", "lattice_angstrom": [[3.7542, 0.0000, 0.0000], [0.0000, 6.5808, 0.0000], [0.0000, 0.0000, 5.6055]], "species": ["Sb", "Sb", "Te", "Te", "Os", "Os"], "frac_coords": [[0.0000, 0.1045, 0.0000], [0.5000, 0.8955, 0.5000], [0.0000, 0.3830, 0.5900], [0.5000, 0.6170, 0.0900], [0.0000, 0.7469, 0.7897], [0.5000, 0.2531, 0.2897]], "m_tot_mub_per_cell": 0.0, "dft_energy_ev_per_atom": -6.15}


{"formula": "SbTeOs", "functional": "PBE", "state": "relaxed", "lattice_angstrom": [[0.0000, 3.2364, 3.2364], [3.2364, 0.0000, 3.2364], [3.2364, 3.2364, 0.0000]], "species": ["Sb", "Te", "Os"], "frac_coords": [[0.0000, 0.0000, 0.0000], [0.5000, 0.5000, 0.5000], [0.2500, 0.2500, 0.2500]], "m_tot_mub_per_cell": 0.0, "dft_energy_ev_per_atom": -5.98}


{"formula": "SbTeOs", "functional": "PBE", "state": "relaxed", "lattice_angstrom": [[6.6856, 0.0000, 0.0000], [0.0000, 6.5939, 0.0000], [-2.7272, 0.0000, 6.1829]], "species": ["Sb", "Sb", "Sb", "Sb", "Te", "Te", "Te", "Te", "Os", "Os", "Os", "Os"], "frac_coords": [[0.1398, 0.1407, 0.3859], [0.1398, 0.3593, 0.8859], [0.8602, 0.6407, 0.1141], [0.8602, 0.8593, 0.6141], [0.3466, 0.6348, 0.6835], [0.3466, 0.8652, 0.1835], [0.6534, 0.1348, 0.8165], [0.6534, 0.3652, 0.3165], [0.2763, 0.0011, 0.7959], [0.2763, 0.4989, 0.2959], [0.7237, 0.5011, 0.7041], [0.7237, 0.9989, 0.2041]], "m_tot_mub_per_cell": 0.0, "dft_energy_ev_per_atom": -6.25}


{"formula": "Sb3TeOs2", "functional": "PBE", "state": "relaxed", "lattice_angstrom": [[5.9201, 0.0000, 0.0000], [0.0000, 3.3920, 0.0000], [-0.0537, 0.0000, 6.6953]], "species": ["Sb", "Sb", "Sb", "Te", "Os", "Os"], "frac_coords": [[0.0000, 0.0000, 0.0000], [0.1164, 0.5000, 0.5078], [0.6278, 0.0000, 0.7175], [0.4971, 0.5000, 0.2216], [0.3153, 0.5000, 0.8591], [0.8135, 0.0000, 0.3579]], "m_tot_mub_per_cell": 0.5, "dft_energy_ev_per_atom": -6.29}


{"formula": "Y3Tm3SbTeOs", "functional": "PBE", "state": "relaxed", "lattice_angstrom": [[8.1686, 0.0000, 0.0000], [-4.0843, 7.0742, 0.0000], [0.0000, 0.0000, 4.1458]], "species": ["Y", "Y", "Y", "Tm", "Tm", "Tm", "Sb", "Te", "Os"], "frac_coords": [[0.0609, 0.7235, 0.0000], [0.2765, 0.3374, 0.0000], [0.6626, 0.9391, 0.0000], [0.4319, 0.0978, 0.5000], [0.6659, 0.5681, 0.5000], [0.9022, 0.3341, 0.5000], [0.3333, 0.6667, 0.5000], [0.0000, 0.0000, 0.5000], [0.6667, 0.3333, 0.0000]], "m_tot_mub_per_cell": 0.0, "dft_energy_ev_per_atom": -6.43}